The following is a DFT calculation (PBE) of crystalline BaZrTaI2 at its relaxed geometry.

```
BaZrTaI2
1.0
5.761 0.000 0.000
0.000 5.761 0.000
0.000 0.000 5.130
Ba Zr Ta I
1 1 1 2
Direct
0.000 0.000 0.000
0.500 0.500 0.000
0.500 0.500 0.500
0.000 0.500 0.500
0.500 0.000 0.500
```

ΔE_f (raw) in eV/atom: 0.37